Compound: HfWI2O
Source: Alexandria
Functional: GGA+U
Structure: optimized geometry

Calculated values
energy above the lowest structure with this stoichiometry = 516.7 meV per atom
N(E_F) = 5.85 states/eV/f.u.
calculated total energy = -0.35535 Ry/atom

abc: 5.984 5.984 3.828
angles: 90.00 90.00 90.00
Positions (direct):
Hf (0.000, 0.000, 0.000)
W (0.500, 0.500, 0.500)
I (0.000, 0.500, 0.500)
I (0.500, 0.000, 0.500)
O (0.500, 0.500, 0.000)